No. 1
Entry from the Alexandria database: a relaxed Pm8Sm3Y4 crystal (PBE).

Computed properties:
space-group type	No. 12
VASP energy	-4.87	eV/atom
E_form	0.331	eV per atom
D(E_F)	1.594	states/eV/atom

Cell and atoms, written as POSCAR:
```
Pm8Sm3Y4
1.0
6.9548 -6.1034 0.0000
6.9548 6.1034 0.0000
-3.3431 0.0000 6.0824
Pm Sm Y
8 3 4
Direct
0.2026 0.2026 0.1884 Pm
0.2041 0.7959 0.0000 Pm
0.2514 0.7486 0.5000 Pm
0.2523 0.2523 0.7286 Pm
0.7477 0.7477 0.2714 Pm
0.7486 0.2514 0.5000 Pm
0.7959 0.2041 0.0000 Pm
0.7974 0.7974 0.8116 Pm
0.0000 0.0000 0.5000 Sm
0.0000 0.5000 0.5000 Sm
0.5000 0.0000 0.5000 Sm
0.0000 0.5000 0.0000 Y
0.5000 0.0000 0.0000 Y
0.5000 0.5000 0.0000 Y
0.5000 0.5000 0.5000 Y
```

No. 2
Entry from the Alexandria database: a relaxed YZrNp2N4 crystal (PBE).

Computed properties:
space-group type	No. 10
VASP energy	-10.68	eV/atom
formation energy (no corrections)	-1.40	eV per atom
D(E_F)	1.508	states/eV/atom

Cell and atoms, written as POSCAR:
```
YZrNp2N4
1.0
5.8926 0.0000 0.0000
0.0000 3.3933 0.0000
-1.9590 0.0000 5.5754
Y Zr Np N
1 1 2 4
Direct
0.0000 0.0000 0.0000 Y
0.5000 0.5000 0.0000 Zr
0.0000 0.5000 0.5000 Np
0.5000 0.0000 0.5000 Np
0.2611 0.0000 0.7536 N
0.2626 0.5000 0.2539 N
0.7374 0.5000 0.7461 N
0.7389 0.0000 0.2464 N
```

No. 3
Entry from the Alexandria database: a relaxed MnCd2Pd2 crystal (PBE).

Computed properties:
space-group type	No. 127
distance to the lowest polymorph of the same formula	0.000	eV/atom
VASP energy	-4.43	eV/atom
E_form	-0.154	eV per atom
D(E_F)	0.428	states/eV/atom

Cell and atoms, written as POSCAR:
```
MnCd2Pd2
1.0
6.7725 0.0000 0.0000
0.0000 6.7725 0.0000
0.0000 0.0000 4.0301
Mn Cd Pd
2 4 4
Direct
0.0000 0.0000 0.0000 Mn
0.5000 0.5000 0.0000 Mn
0.1621 0.3379 0.5000 Cd
0.3379 0.8379 0.5000 Cd
0.6621 0.1621 0.5000 Cd
0.8379 0.6621 0.5000 Cd
0.1418 0.6418 0.0000 Pd
0.3582 0.1418 0.0000 Pd
0.6418 0.8582 0.0000 Pd
0.8582 0.3582 0.0000 Pd
```

No. 4
Entry from the Alexandria database: a relaxed BaZrSe2 crystal (PBE).

Computed properties:
space-group type	No. 123
distance to the lowest polymorph of the same formula	0.066	eV/atom
VASP energy	-5.75	eV/atom
formation energy (no corrections)	-1.39	eV per atom
D(E_F)	0.721	states/eV/atom

Cell and atoms, written as POSCAR:
```
BaZrSe2
1.0
5.3240 0.0000 0.0000
0.0000 5.3240 0.0000
0.0000 0.0000 4.1195
Ba Zr Se
1 1 2
Direct
0.0000 0.0000 0.0000 Ba
0.5000 0.5000 0.5000 Zr
0.0000 0.5000 0.5000 Se
0.5000 0.0000 0.5000 Se
```

No. 5
Entry from the Alexandria database: a relaxed LiTaCuRu crystal (PBE).

Computed properties:
space-group type	No. 216
VASP energy	-6.78	eV/atom
E_form	0.004	eV per atom
D(E_F)	0.840	states/eV/atom

Cell and atoms, written as POSCAR:
```
LiTaCuRu
1.0
0.0000 3.0573 3.0573
3.0573 0.0000 3.0573
3.0573 3.0573 0.0000
Li Ta Cu Ru
1 1 1 1
Direct
0.0000 0.0000 0.0000 Li
0.5000 0.5000 0.5000 Ta
0.2500 0.2500 0.2500 Cu
0.7500 0.7500 0.7500 Ru
```

No. 6
Entry from the Alexandria database: a relaxed Hf6Os2Rh crystal (PBE).

Computed properties:
space-group type	No. 14
VASP energy	-10.25	eV/atom
E_form	-0.306	eV per atom
D(E_F)	0.792	states/eV/atom

Cell and atoms, written as POSCAR:
```
Hf6Os2Rh
1.0
5.4769 0.0000 0.0000
0.0000 7.1399 0.0000
-5.4631 0.0000 9.2072
Hf Os Rh
12 4 2
Direct
0.0703 0.2204 0.4317 Hf
0.0703 0.2796 0.9317 Hf
0.2848 0.6400 0.4487 Hf
0.2848 0.8600 0.9487 Hf
0.4052 0.0670 0.2429 Hf
0.4052 0.4330 0.7429 Hf
0.5948 0.5670 0.2571 Hf
0.5948 0.9330 0.7571 Hf
0.7152 0.1400 0.0513 Hf
0.7152 0.3600 0.5513 Hf
0.9297 0.7204 0.0683 Hf
0.9297 0.7796 0.5683 Hf
0.1101 0.1002 0.7193 Os
0.1101 0.3998 0.2193 Os
0.8899 0.6002 0.7807 Os
0.8899 0.8998 0.2807 Os
0.5000 0.0000 0.5000 Rh
0.5000 0.5000 0.0000 Rh
```

Q: Which of these has the highest D(E_F)?
A: Pm8Sm3Y4